Record 1
Here is an optimized crystal structure of CaRh2PbAu from Alexandria via LeMat-Bulk. Energies are from PBE.

Results
The total magnetic moment is 0.00 μB/cell. Its calculated formation energy is 2.47 eV per formula unit.

a = 5.0325 Å, b = 5.0325 Å, c = 5.2212 Å
α = 90.00°, β = 90.00°, γ = 90.00°
Last column: nearest neighbours and their distance in Å.
Space group P4/mmm (No. 123)
Unique sites:
Ca (0.0000, 0.0000, 0.0000) x1  4 Au 3.56, 8 Rh 3.63
Rh (0.0000, 0.5000, 0.5000) x2  2 Pb 2.52
Pb (0.5000, 0.5000, 0.5000) x1  4 Rh 2.52, 2 Au 2.61
Au (0.5000, 0.5000, 0.0000) x1  2 Pb 2.61


Record 2
Here is an optimized crystal structure of CaSb2Pb2Au7 from Alexandria via LeMat-Bulk. Energies are from PBE.

Results
The total magnetic moment is 0.00 μB/cell. Its formation energy (no corrections) is -2.1 eV per formula unit.

a = 6.1285 Å, b = 6.1439 Å, c = 16.5357 Å
α = 90.00°, β = 100.08°, γ = 90.00°
Last column: nearest neighbours and their distance in Å.
Space group C2/m (No. 12)
Unique sites:
Ca (0.0000, 0.0000, 0.0000) x2  12 Au 3.03-3.07
Sb (0.1200, 0.5000, 0.2353) x4  5 Au 2.75-2.76
Pb (0.2120, 0.0000, 0.4190) x4  5 Au 2.87-3.08
Au (0.0000, 0.5000, 0.0000) x2  8 Au 3.02-3.06, 4 Ca 3.06-3.07
Au (0.1839, 0.2523, 0.8692) x8  2 Sb 2.75-2.76, 5 Au 3.02-3.06, 2 Ca 3.03-3.05
Au (0.2055, 0.5000, 0.4045) x4  1 Sb 2.76, 5 Pb 2.87-3.08


Record 3
Here is an optimized crystal structure of CaSi2PbAu5 from Alexandria via LeMat-Bulk. Energies are from PBE.

Results
The total magnetic moment is 0.00 μB/cell. Its formation energy (no corrections) is -1.8 eV per formula unit.

a = 4.5944 Å, b = 4.5944 Å, c = 10.3212 Å
α = 90.00°, β = 90.00°, γ = 90.00°
Last column: nearest neighbours and their distance in Å.
Space group P4/mmm (No. 123)
Unique sites:
Ca (0.0000, 0.0000, 0.0000) x1  4 Au 3.25
Si (0.5000, 0.5000, 0.2297) x2  5 Au 2.37-2.42
Pb (0.0000, 0.0000, 0.5000) x1  8 Au 3.06
Au (0.0000, 0.5000, 0.3047) x4  2 Si 2.42
Au (0.5000, 0.5000, 0.0000) x1  2 Si 2.37


Record 4
Here is an optimized crystal structure of CaSi2Pb2Au7 from Alexandria via LeMat-Bulk. Energies are from PBE.

Results
The total magnetic moment is 0.00 μB/cell. Its formation energy (no corrections) is -2.6 eV per formula unit.

a = 6.7130 Å, b = 6.9291 Å, c = 11.8153 Å
α = 90.00°, β = 99.92°, γ = 90.00°
Last column: nearest neighbours and their distance in Å.
Space group C2/m (No. 12)
Unique sites:
Ca (0.0000, 0.0000, 0.0000) x2  12 Au 3.21-3.46, 2 Si 3.53
Si (0.1891, 0.5000, 0.2126) x4  6 Au 2.39-2.62
Pb (0.1218, 0.0000, 0.3809) x4  2 Au 2.95-3.08, 1 Si 3.23
Au (0.0000, 0.5000, 0.0000) x2  2 Si 2.61, 4 Au 2.87
Au (0.0860, 0.5000, 0.4016) x4  1 Si 2.45
Au (0.1429, 0.2933, 0.8197) x8  2 Si 2.39-2.62


Record 5
Here is an optimized crystal structure of CaSmPbAu from Alexandria via LeMat-Bulk. Energies are from PBE.

Results
The total magnetic moment is 0.00 μB/cell. Its calculated formation energy is -2.68 eV per formula unit.

a = 7.5657 Å, b = 7.5657 Å, c = 7.5657 Å
α = 90.00°, β = 90.00°, γ = 90.00°
Last column: nearest neighbours and their distance in Å.
Space group F-43m (No. 216)
Unique sites:
Ca (0.0000, 0.0000, 0.0000) x4  4 Pb 3.28, 4 Au 3.28
Sm (0.0000, 0.0000, 0.5000) x4  4 Pb 3.28, 4 Au 3.28
Pb (0.2500, 0.2500, 0.7500) x4  4 Ca 3.28, 4 Sm 3.28
Au (0.2500, 0.2500, 0.2500) x4  4 Ca 3.28, 4 Sm 3.28


Record 6
Here is an optimized crystal structure of CaSnPb2Au from Alexandria via LeMat-Bulk. Energies are from PBE.

Results
The total magnetic moment is 0.00 μB/cell. Its calculated formation energy is 2.01 eV per formula unit.

a = 5.7593 Å, b = 5.7593 Å, c = 5.9062 Å
α = 90.00°, β = 90.00°, γ = 90.00°
Last column: nearest neighbours and their distance in Å.
Space group P4/mmm (No. 123)
Unique sites:
Ca (0.0000, 0.0000, 0.0000) x1  2 Sn 2.95
Sn (0.0000, 0.0000, 0.5000) x1  4 Pb 2.88, 2 Ca 2.95
Pb (0.0000, 0.5000, 0.5000) x2  2 Sn 2.88
Au (0.5000, 0.5000, 0.0000) x1  4 Ca 4.07, 8 Pb 4.12


Record 7
Here is an optimized crystal structure of SrCaPbAu from Alexandria via LeMat-Bulk. Energies are from PBE.

Results
The total magnetic moment is 0.00 μB/cell. Its calculated formation energy is -2.65 eV per formula unit.

a = 3.7626 Å, b = 3.7626 Å, c = 8.2238 Å
α = 90.00°, β = 90.00°, γ = 90.00°
Last column: nearest neighbours and their distance in Å.
Space group P4mm (No. 99)
Unique sites:
Sr (0.0000, 0.0000, 0.0000) x1  4 Au 3.35, 4 Pb 3.56, 1 Ca 3.73
Ca (0.0000, 0.0000, 0.4535) x1  4 Au 3.16, 4 Pb 3.41
Pb (0.5000, 0.5000, 0.7121) x1  4 Ca 3.41, 4 Sr 3.56, 4 Pb 3.76
Au (0.5000, 0.5000, 0.2467) x1  4 Ca 3.16, 4 Sr 3.35


Record 8
Here is an optimized crystal structure of Ca2TlPbAu4 from Alexandria via LeMat-Bulk. Energies are from PBE.

Results
The total magnetic moment is 0.00 μB/cell. Its calculated formation energy is -4.13 eV per formula unit.

a = 5.1002 Å, b = 5.1002 Å, c = 24.9121 Å
α = 90.00°, β = 90.00°, γ = 120.00°
Last column: nearest neighbours and their distance in Å.
Space group R-3m (No. 166, hexagonal axes)
Unique sites:
Ca (0.0000, 0.0000, 0.2488) x6  8 Au 3.09-3.14
Tl (0.0000, 0.0000, 0.5000) x3  8 Au 3.13
Pb (0.0000, 0.0000, 0.0000) x3  8 Au 3.10-3.12
Au (0.0000, 0.0000, 0.1246) x6  4 Ca 3.09-3.11, 1 Pb 3.10, 3 Tl 3.13
Au (0.0000, 0.0000, 0.3742) x6  3 Pb 3.12, 4 Ca 3.12-3.14, 1 Tl 3.13


Record 9
Here is an optimized crystal structure of Ca2TlPbAu from Alexandria via LeMat-Bulk. Energies are from PBE.

Results
The total magnetic moment is 0.00 μB/cell. Its calculated formation energy is -2.60 eV per formula unit.

a = 7.7275 Å, b = 4.8699 Å, c = 8.0906 Å
α = 90.00°, β = 109.36°, γ = 90.00°
Last column: nearest neighbours and their distance in Å.
Space group P2_1/m (No. 11)
Unique sites:
Ca (0.0380, 0.2500, 0.2043) x2  3 Au 3.07-3.17, 2 Pb 3.32
Ca (0.3510, 0.7500, 0.6249) x2  3 Au 3.06-3.28, 1 Pb 3.37
Tl (0.3153, 0.2500, 0.9398) x2  1 Au 2.87, 2 Pb 3.21
Pb (0.3288, 0.7500, 0.2019) x2  3 Tl 3.21-3.31, 6 Ca 3.32-3.56
Au (0.0571, 0.2500, 0.5899) x2  2 Au 2.82, 1 Tl 2.87, 2 Ca 3.06-3.07


Record 10
Here is an optimized crystal structure of CaTmPbAu from Alexandria via LeMat-Bulk. Energies are from PBE.

Results
The total magnetic moment is 0.00 μB/cell. Its calculated formation energy is -2.57 eV per formula unit.

a = 7.4396 Å, b = 7.4396 Å, c = 7.4396 Å
α = 90.00°, β = 90.00°, γ = 90.00°
Last column: nearest neighbours and their distance in Å.
Space group F-43m (No. 216)
Unique sites:
Ca (0.0000, 0.0000, 0.0000) x4  4 Pb 3.22, 4 Au 3.22
Tm (0.0000, 0.0000, 0.5000) x4  4 Pb 3.22, 4 Au 3.22
Pb (0.2500, 0.2500, 0.7500) x4  4 Ca 3.22, 4 Tm 3.22
Au (0.2500, 0.2500, 0.2500) x4  4 Ca 3.22, 4 Tm 3.22


Record 11
Here is an optimized crystal structure of CaV2PbAu from Alexandria via LeMat-Bulk. Energies are from PBE.

Results
The total magnetic moment is 7.02 μB/cell. Its calculated formation energy is 4.91 eV per formula unit.

a = 5.2466 Å, b = 5.2466 Å, c = 5.3813 Å
α = 90.00°, β = 90.00°, γ = 90.00°
Last column: nearest neighbours and their distance in Å.
Space group P4/mmm (No. 123)
Unique sites:
Ca (0.0000, 0.0000, 0.0000) x1  4 Au 3.71, 8 V 3.76
V (0.0000, 0.5000, 0.5000) x2  2 Pb 2.62
Pb (0.5000, 0.5000, 0.5000) x1  4 V 2.62, 2 Au 2.69
Au (0.5000, 0.5000, 0.0000) x1  2 Pb 2.69


Record 12
Here is an optimized crystal structure of CaZnPbAu2 from Alexandria via LeMat-Bulk. Energies are from PBE.

Results
The total magnetic moment is 0.54 μB/cell. Its calculated formation energy is 2.91 eV per formula unit.

a = 5.4241 Å, b = 5.4241 Å, c = 6.2650 Å
α = 90.00°, β = 90.00°, γ = 90.00°
Last column: nearest neighbours and their distance in Å.
Space group P4/mmm (No. 123)
Unique sites:
Ca (0.0000, 0.0000, 0.0000) x1  4 Au 2.71
Zn (0.5000, 0.5000, 0.5000) x1  4 Pb 3.84, 8 Au 4.14
Pb (0.0000, 0.0000, 0.5000) x1  2 Ca 3.13
Au (0.0000, 0.5000, 0.0000) x2  2 Ca 2.71


| no. | calculated volume (Å³/cell) |
| --- | --- |
| 1 | 132.2 |
| 2 | 613.0 |
| 3 | 217.9 |
| 4 | 541.4 |
| 5 | 433.1 |
| 6 | 195.9 |
| 7 | 116.4 |
| 8 | 561.2 |
| 9 | 287.3 |
| 10 | 411.8 |
| 11 | 148.1 |
| 12 | 184.3 |